GGA-PBE Tl2VSnS4, relaxed; energy relative to the elements, uncorrected = -0.502 eV/atom
1.0
6.2060 0.0000 0.0000
0.0000 8.2155 0.0000
0.0000 0.0000 9.3641
Tl V Sn S
4 2 2 8
Direct
0.4456 0.3398 0.2206
0.4456 0.3398 0.7794
0.9456 0.6602 0.7206
0.9456 0.6602 0.2794
0.5064 0.8916 0.5000
0.0064 0.1084 0.0000
0.9758 0.2184 0.5000
0.4758 0.7816 0.0000
0.3663 0.0821 0.0000
0.8663 0.9179 0.5000
0.3942 0.1549 0.5000
0.8942 0.8451 0.0000
0.4331 0.7537 0.6936
0.9331 0.2463 0.1936
0.9331 0.2463 0.8064
0.4331 0.7537 0.3064